! RbTbSe2O8 | OQMD via LeMat-Bulk | PBE | relaxed; values from VASP
&SYSTEM
  ibrav = 0, nat = 12, ntyp = 4
/
ATOMIC_SPECIES
Tb 158.93 Tb.upf
O 16.00 O.upf
Se 78.96 Se.upf
Rb 85.47 Rb.upf
CELL_PARAMETERS angstrom
5.6771 0.0000 0.0000
-2.8386 4.9165 0.0000
0.0000 0.0000 7.6142
ATOMIC_POSITIONS angstrom
Tb 0.0000 0.0000 0.0000
O 2.8386 1.6388 3.6452
O -1.3443 4.0538 6.2162
O 0.0000 3.2777 3.9690
O 0.0000 1.7254 6.2162
O 2.8386 3.1911 1.3981
O 1.4943 0.8627 1.3981
O 4.1829 0.8627 1.3981
O 1.3443 4.0538 6.2162
Se 2.8386 1.6388 2.0057
Se 0.0000 3.2777 5.6085
Rb 0.0000 0.0000 3.8071
! calculated volume = 17.711 A^3/atom
! electronic total energy = -70.56 eV/f.u.
! symmetry = P-3m1, No. 164